No. 1
Below is a geometry-optimized Li14InPd structure, with properties calculated at the PBE level.

- Theoretical density: 1829 kg/m³
- Formation enthalpy at 0 K: -0.12 eV/atom
- Crystal system: tetragonal

Unit cell a=6.6548 b=6.6548 c=6.5265 alpha=90.00 beta=90.00 gamma=90.00
Last column: nearest neighbours and their distance in Å.
Fractional positions:
Li  0.8750  0.3750  0.0000  10 Li 2.94-3.26
Li  0.6095  0.6095  0.2683  1 Pd 2.67, 5 Li 2.80-2.94, 1 In 2.92
Li  0.8750  0.3750  0.5000  8 Li 2.80
Li  0.3750  0.3750  0.0000  8 Li 2.82
Pd  0.3750  0.3750  0.5000  8 Li 2.67-2.68
Li  0.1405  0.1405  0.2683  1 Pd 2.67, 5 Li 2.80-2.94, 1 In 2.92
Li  0.1405  0.6095  0.7318  1 Pd 2.68, 5 Li 2.80-2.94, 1 In 2.92
Li  0.6095  0.1405  0.7318  1 Pd 2.68, 5 Li 2.80-2.94, 1 In 2.92
Li  0.8750  0.8750  0.0000  12 Li 3.05-3.33, 2 In 3.26
Li  0.3750  0.8750  0.0000  10 Li 2.94-3.26
Li  0.6095  0.1405  0.2682  1 Pd 2.68, 5 Li 2.80-2.94, 1 In 2.92
Li  0.3750  0.8750  0.5000  8 Li 2.80
Li  0.1405  0.6095  0.2682  1 Pd 2.68, 5 Li 2.80-2.94, 1 In 2.92
Li  0.6095  0.6095  0.7317  1 Pd 2.67, 5 Li 2.80-2.94, 1 In 2.92
Li  0.1405  0.1405  0.7317  1 Pd 2.67, 5 Li 2.80-2.94, 1 In 2.92
In  0.8750  0.8750  0.5000  10 Li 2.92-3.26


No. 2
Below is a geometry-optimized Li2Pm2InPd5 structure, with properties calculated at the PBE level.

- Theoretical density: 8858 kg/m³
- Formation enthalpy at 0 K: -0.65 eV/atom
- Crystal system: tetragonal

Unit cell a=3.7713 b=9.7224 c=9.7224 alpha=90.00 beta=90.00 gamma=90.00
Last column: nearest neighbours and their distance in Å.
Fractional positions:
Pm  0.0000  0.1784  0.3216  3 Li 2.78-2.95, 2 Pd 3.09
Li  0.0000  0.3807  0.1193  6 Pd 2.50-2.56, 1 Pm 2.78
Pm  0.0000  0.6784  0.1784  3 Li 2.78-2.95, 2 Pd 3.09
Pd  0.5000  0.7106  0.4325  2 Li 2.56, 2 In 2.86
Li  0.0000  0.8807  0.3807  6 Pd 2.50-2.56, 1 Pm 2.78
Pm  0.0000  0.8216  0.6784  3 Li 2.78-2.95, 2 Pd 3.09
Pd  0.5000  0.0000  0.5000  4 Li 2.50
Li  0.0000  0.1193  0.6193  6 Pd 2.50-2.56, 1 Pm 2.78
Pd  0.5000  0.0675  0.7894  2 Li 2.56, 2 In 2.86
Pd  0.5000  0.5000  0.0000  4 Li 2.50
Pm  0.0000  0.3216  0.8216  3 Li 2.78-2.95, 2 Pd 3.09
In  0.0000  0.5000  0.5000  8 Pd 2.86
Pd  0.5000  0.2106  0.0675  2 Li 2.56, 2 In 2.86
Li  0.0000  0.6193  0.8807  6 Pd 2.50-2.56, 1 Pm 2.78
Pd  0.5000  0.2894  0.5675  2 Li 2.56, 2 In 2.86
Pd  0.5000  0.7894  0.9325  2 Li 2.56, 2 In 2.86
Pd  0.5000  0.9325  0.2106  2 Li 2.56, 2 In 2.86
Pd  0.5000  0.4325  0.2894  2 Li 2.56, 2 In 2.86
In  0.0000  0.0000  0.0000  8 Pd 2.86
Pd  0.5000  0.5675  0.7106  2 Li 2.56, 2 In 2.86


No. 3
Below is a geometry-optimized LiPmIn4Pd2 structure, with properties calculated at the PBE level.

- Theoretical density: 8108 kg/m³
- Formation enthalpy at 0 K: -0.49 eV/atom
- Crystal system: trigonal

Unit cell a=4.6233 b=4.6233 c=9.4995 alpha=75.92 beta=75.92 gamma=60.00
Last column: nearest neighbours and their distance in Å.
Fractional positions:
In  0.3962  0.3962  0.8115  1 Li 2.84, 3 Pd 2.84, 3 Pm 3.17
Li  0.5000  0.5000  0.5000  8 In 2.84-2.86
Pd  0.2350  0.2350  0.2951  7 In 2.80-2.88
Pm  0.0000  0.0000  0.0000  8 In 3.17-3.54
Pd  0.7650  0.7650  0.7049  7 In 2.80-2.88
In  0.8705  0.8705  0.3885  4 Pd 2.80-2.88, 3 Li 2.86
In  0.1295  0.1295  0.6115  4 Pd 2.80-2.88, 3 Li 2.86
In  0.6038  0.6038  0.1885  1 Li 2.84, 3 Pd 2.84, 3 Pm 3.17


No. 4
Below is a geometry-optimized LiPmIn2Pd4 structure, with properties calculated at the PBE level.

- Theoretical density: 9020 kg/m³
- Formation enthalpy at 0 K: -0.65 eV/atom
- Crystal system: trigonal

Unit cell a=4.6420 b=4.6420 c=8.4029 alpha=73.97 beta=73.97 gamma=60.00
Last column: nearest neighbours and their distance in Å.
Fractional positions:
Pd  0.3927  0.3927  0.8220  1 Li 2.56, 3 In 2.78
Pd  0.1261  0.1261  0.6218  4 In 2.78-2.81, 3 Li 2.85, 1 Pm 3.01
Pm  0.0000  0.0000  0.0000  8 Pd 3.01-3.03
In  0.7576  0.7576  0.7273  7 Pd 2.78-2.81
In  0.2424  0.2424  0.2727  7 Pd 2.78-2.81
Pd  0.6073  0.6073  0.1780  1 Li 2.56, 3 In 2.78
Pd  0.8739  0.8739  0.3782  4 In 2.78-2.81, 3 Li 2.85, 1 Pm 3.01
Li  0.5000  0.5000  0.5000  8 Pd 2.56-2.85


No. 5
Below is a geometry-optimized Li2PrInPd structure, with properties calculated at the PBE level.

- Theoretical density: 5822 kg/m³
- Formation enthalpy at 0 K: -0.40 eV/atom
- Crystal system: orthorhombic

Unit cell a=3.8711 b=4.3929 c=6.9534 alpha=108.41 beta=106.16 gamma=90.00
Last column: nearest neighbours and their distance in Å.
Fractional positions:
In  0.1826  0.6826  0.3653  6 Li 2.76-2.94, 2 Pd 2.82
Li  0.0495  0.0495  0.0991  1 Pd 2.57, 2 In 2.76, 2 Li 2.78
Pr  0.4267  0.4267  0.8535  4 Pd 3.10, 6 Li 3.31-3.37
Li  0.7077  0.2077  0.4154  2 Li 2.78, 2 Pd 2.80, 4 In 2.94
Pd  0.8455  0.8455  0.6911  3 Li 2.57-2.80, 2 In 2.82


No. 6
Below is a geometry-optimized LiPrInPd structure, with properties calculated at the PBE level.

- Theoretical density: 7228 kg/m³
- Formation enthalpy at 0 K: -0.54 eV/atom
- Crystal system: cubic

Unit cell a=4.9312 b=4.9312 c=4.9312 alpha=60.00 beta=60.00 gamma=60.00
Last column: nearest neighbours and their distance in Å.
Fractional positions:
In  0.2500  0.2500  0.2500  4 Li 3.02, 4 Pd 3.02
Li  0.0000  0.0000  0.0000  4 In 3.02, 4 Pr 3.02
Pr  0.7500  0.7500  0.7500  4 Li 3.02, 4 Pd 3.02
Pd  0.5000  0.5000  0.5000  4 In 3.02, 4 Pr 3.02


What did the third record say?
Below is a geometry-optimized LiPmIn4Pd2 structure, with properties calculated at the PBE level.

- Theoretical density: 8108 kg/m³
- Formation enthalpy at 0 K: -0.49 eV/atom
- Crystal system: trigonal

Unit cell a=4.6233 b=4.6233 c=9.4995 alpha=75.92 beta=75.92 gamma=60.00
Last column: nearest neighbours and their distance in Å.
Fractional positions:
In  0.3962  0.3962  0.8115  1 Li 2.84, 3 Pd 2.84, 3 Pm 3.17
Li  0.5000  0.5000  0.5000  8 In 2.84-2.86
Pd  0.2350  0.2350  0.2951  7 In 2.80-2.88
Pm  0.0000  0.0000  0.0000  8 In 3.17-3.54
Pd  0.7650  0.7650  0.7049  7 In 2.80-2.88
In  0.8705  0.8705  0.3885  4 Pd 2.80-2.88, 3 Li 2.86
In  0.1295  0.1295  0.6115  4 Pd 2.80-2.88, 3 Li 2.86
In  0.6038  0.6038  0.1885  1 Li 2.84, 3 Pd 2.84, 3 Pm 3.17